[1]
Here is a geometry-optimized MgNbAlOs structure from Alexandria. Energies are from PBE.

a = 4.470 Å, b = 4.470 Å, c = 4.470 Å
α = 60.00°, β = 60.00°, γ = 60.00°
Element x y z (fractional)
1 Mg 0.750 0.750 0.750
2 Nb 0.000 0.000 0.000
3 Os 0.250 0.250 0.250
4 Al 0.500 0.500 0.500

Calculated values
The total energy is -6.974 eV/atom. The value obtained for the energy relative to the elements is -30.40 kJ per mole of atoms. As for the space-group type: F-43m, No. 216. The density of states at the Fermi level comes out at 0.2 states/eV/f.u. For the magnetization, the calculation gives 0.00 μB/cell.

[2]
Here is a geometry-optimized KFeP structure from Alexandria. Energies are from PBE.

a = 3.805 Å, b = 3.795 Å, c = 11.981 Å
α = 82.41°, β = 81.40°, γ = 120.01°
Element x y z (fractional)
1 P 0.526 0.240 0.970
2 P 0.656 0.712 0.197
3 K 0.038 0.079 0.774
4 K 0.801 0.198 0.405
5 Fe 0.114 0.498 0.056
6 Fe 0.356 0.077 0.159

Calculated values
The total energy is -5.216 eV/atom. The value obtained for the energy relative to the elements is -21.78 kJ per mole of atoms. As for the space-group type: P1, No. 1. The density of states at the Fermi level comes out at 1.5 states/eV/f.u. For the magnetization, the calculation gives 3.19 μB/cell.

[3]
Here is a geometry-optimized GeOs3Rh structure from Alexandria. Energies are from PBE.

a = 4.685 Å, b = 4.685 Å, c = 4.685 Å
α = 90.00°, β = 90.00°, γ = 90.00°
Element x y z (fractional)
1 Rh 0.000 0.000 0.000
2 Ge 0.500 0.500 0.500
3 Os 0.000 0.500 0.000
4 Os 0.000 0.000 0.500
5 Os 0.500 0.000 0.000

Calculated values
The total energy is -6.727 eV/atom. The value obtained for the energy relative to the elements is 232.00 kJ per mole of atoms. As for the space-group type: Pm-3m, No. 221. The density of states at the Fermi level comes out at 6.9 states/eV/f.u. As for the energy above the most stable polymorph in this dataset: 250 kJ/mol of formula units. For the magnetization, the calculation gives 0.00 μB/cell.

[4]
Here is a geometry-optimized Tc2TePt structure from Alexandria. Energies are from PBE.

a = 4.915 Å, b = 4.915 Å, c = 4.752 Å
α = 83.14°, β = 83.14°, γ = 36.07°
Element x y z (fractional)
1 Pt 0.264 0.264 0.225
2 Tc 0.006 0.006 0.990
3 Tc 0.735 0.735 0.772
4 Te 0.494 0.494 0.512

Calculated values
The total energy is -7.225 eV/atom. As for the space-group type: Cm, No. 8. The density of states at the Fermi level comes out at 2.7 states/eV/f.u. For the magnetization, the calculation gives 0.00 μB/cell. The formation energy (no corrections) is 0.254 eV/atom.

[5]
Here is a geometry-optimized PuInAu11 structure from Alexandria. Energies are from PBE.

a = 5.626 Å, b = 7.545 Å, c = 7.148 Å
α = 81.78°, β = 66.83°, γ = 68.69°
Element x y z (fractional)
1 Pu 0.000 0.000 0.000
2 In 0.500 0.500 0.000
3 Au 0.292 0.213 0.213
4 Au 0.708 0.787 0.787
5 Au 0.494 0.787 0.213
6 Au 0.506 0.213 0.787
7 Au 0.340 0.659 0.650
8 Au 0.660 0.341 0.350
9 Au 0.010 0.341 0.650
10 Au 0.990 0.659 0.350
11 Au 0.000 0.500 0.000
12 Au 0.500 0.000 0.500
13 Au 0.000 0.000 0.500

Calculated values
The total energy is -4.208 eV/atom. The value obtained for the energy relative to the elements is -11.72 kJ per mole of atoms. As for the space-group type: C2/m, No. 12. The density of states at the Fermi level comes out at 21.2 states/eV/f.u. For the magnetization, the calculation gives 5.61 μB/cell.

[6]
Here is a geometry-optimized LiPmErSe3 structure from Alexandria. Energies are from PBE.

a = 3.995 Å, b = 8.384 Å, c = 8.801 Å
α = 103.12°, β = 90.00°, γ = 90.00°
Element x y z (fractional)
1 Li 0.250 0.086 0.584
2 Li 0.750 0.914 0.416
3 Pm 0.250 0.190 0.226
4 Pm 0.750 0.810 0.774
5 Er 0.250 0.666 0.163
6 Er 0.750 0.334 0.837
7 Se 0.750 0.904 0.130
8 Se 0.250 0.096 0.870
9 Se 0.250 0.775 0.500
10 Se 0.750 0.225 0.500
11 Se 0.750 0.432 0.173
12 Se 0.250 0.568 0.827

Calculated values
The total energy is -5.270 eV/atom. As for the space-group type: P2_1/m, No. 11. The density of states at the Fermi level comes out at 2.0 states/eV/f.u. For the magnetization, the calculation gives 0.00 μB/cell. The formation energy (no corrections) is -1.657 eV/atom.

[7]
Here is a geometry-optimized InSiAg3 structure from Alexandria. Energies are from PBE.

a = 5.137 Å, b = 5.137 Å, c = 5.137 Å
α = 90.00°, β = 90.00°, γ = 90.00°
Element x y z (fractional)
1 Si 0.500 0.500 0.500
2 Ag 0.000 0.500 0.000
3 Ag 0.000 0.000 0.500
4 Ag 0.500 0.000 0.000
5 In 0.000 0.000 0.000

Calculated values
The total energy is -2.373 eV/atom. As for the space-group type: Pm-3m, No. 221. The density of states at the Fermi level comes out at 2.0 states/eV/f.u. As for the energy above the most stable polymorph in this dataset: 332 kJ/mol of formula units. For the magnetization, the calculation gives 0.00 μB/cell. The formation energy (no corrections) is 0.970 eV/atom.

[8]
Here is a geometry-optimized Ac9Nd2Dy structure from Alexandria. Energies are from PBE.

a = 5.513 Å, b = 5.513 Å, c = 16.572 Å
α = 90.00°, β = 90.00°, γ = 90.00°
Element x y z (fractional)
1 Ac 0.500 0.500 0.000
2 Ac 0.500 0.500 0.332
3 Ac 0.500 0.500 0.668
4 Ac 0.500 0.000 0.165
5 Ac 0.500 0.000 0.500
6 Ac 0.500 0.000 0.835
7 Ac 0.000 0.500 0.165
8 Ac 0.000 0.500 0.500
9 Ac 0.000 0.500 0.835
10 Nd 0.000 0.000 0.332
11 Nd 0.000 0.000 0.668
12 Dy 0.000 0.000 0.000

Calculated values
The total energy is -4.233 eV/atom. The value obtained for the energy relative to the elements is 2.52 kJ per mole of atoms. As for the space-group type: P4/mmm, No. 123. The density of states at the Fermi level comes out at 19.7 states/eV/f.u. For the magnetization, the calculation gives 0.00 μB/cell.